No. 1
## Er2In3Hg2 (PBE)

Data for Er2In3Hg2 after structural relaxation.

Lattice parameters (Å, degrees): 5.9571 5.9571 7.0285 95.19 95.19 45.21
Positions (direct):
Er (0.1028, 0.1028, 0.3076)
Er (0.8972, 0.8972, 0.6924)
In (0.2028, 0.2028, 0.8536)
In (0.5000, 0.5000, 0.0000)
In (0.7972, 0.7972, 0.1464)
Hg (0.3827, 0.3827, 0.3877)
Hg (0.6173, 0.6173, 0.6123)

Calculated values
ρ: 10.18 g/cm³
DOS(E_F): 0.600 states/eV/atom
energy of formation from the pure elements: -0.30 eV per atom


No. 2
## Y5Cd (PBE)

Data for Y5Cd after structural relaxation.

Lattice parameters (Å, degrees): 6.1528 6.1528 5.5429 90.00 90.00 120.00
Positions (direct):
Y (0.0000, 0.6837, 0.0000)
Y (0.3163, 0.3163, 0.0000)
Y (0.3333, 0.6667, 0.5000)
Y (0.6667, 0.3333, 0.5000)
Y (0.6837, 0.0000, 0.0000)
Cd (0.0000, 0.0000, 0.5000)

Calculated values
ρ: 5.09 g/cm³
DOS(E_F): 1.835 states/eV/atom
energy of formation from the pure elements: -0.02 eV per atom


No. 3
## CaAcBi (PBE)

Data for CaAcBi after structural relaxation.

Lattice parameters (Å, degrees): 6.9894 6.9894 6.9894 144.74 144.74 50.72
Positions (direct):
Ca (0.0000, 0.0000, 0.0000)
Ac (0.2807, 0.2807, 0.0000)
Bi (0.6220, 0.6220, 0.0000)

Calculated values
ρ: 6.98 g/cm³
DOS(E_F): 0.937 states/eV/atom
energy of formation from the pure elements: -0.46 eV per atom


No. 4
## La3As5Rh6 (PBE)

Data for La3As5Rh6 after structural relaxation.

Lattice parameters (Å, degrees): 4.1143 12.7322 10.1701 90.00 90.00 90.00
Positions (direct):
La (0.2500, 0.0890, 0.2472)
La (0.2500, 0.4110, 0.2472)
La (0.2500, 0.7500, 0.2413)
La (0.7500, 0.2500, 0.7587)
La (0.7500, 0.5890, 0.7528)
La (0.7500, 0.9110, 0.7528)
As (0.2500, 0.0779, 0.6498)
As (0.2500, 0.4221, 0.6498)
As (0.2500, 0.6295, 0.9788)
As (0.2500, 0.7500, 0.6267)
As (0.2500, 0.8705, 0.9788)
As (0.7500, 0.1295, 0.0212)
As (0.7500, 0.2500, 0.3733)
As (0.7500, 0.3705, 0.0212)
As (0.7500, 0.5779, 0.3502)
As (0.7500, 0.9221, 0.3502)
Rh (0.2500, 0.0541, 0.8979)
Rh (0.2500, 0.2500, 0.0095)
Rh (0.2500, 0.2500, 0.5141)
Rh (0.2500, 0.4459, 0.8979)
Rh (0.2500, 0.5817, 0.4908)
Rh (0.2500, 0.9183, 0.4908)
Rh (0.7500, 0.0817, 0.5092)
Rh (0.7500, 0.4183, 0.5092)
Rh (0.7500, 0.5541, 0.1021)
Rh (0.7500, 0.7500, 0.4859)
Rh (0.7500, 0.7500, 0.9905)
Rh (0.7500, 0.9459, 0.1021)

Calculated values
ρ: 8.78 g/cm³
DOS(E_F): 0.674 states/eV/atom
energy of formation from the pure elements: -0.96 eV per atom


No. 5
## PmZn3Cd3 (PBE)

Data for PmZn3Cd3 after structural relaxation.

Lattice parameters (Å, degrees): 6.9486 4.5505 9.5801 90.00 108.17 90.00
Positions (direct):
Pm (0.1268, 0.2500, 0.2835)
Pm (0.8732, 0.7500, 0.7165)
Zn (0.1248, 0.2500, 0.6336)
Zn (0.2337, 0.7500, 0.5431)
Zn (0.2693, 0.7500, 0.0937)
Zn (0.7307, 0.2500, 0.9063)
Zn (0.7663, 0.2500, 0.4569)
Zn (0.8752, 0.7500, 0.3664)
Cd (0.1615, 0.2500, 0.9294)
Cd (0.4229, 0.7500, 0.8431)
Cd (0.4957, 0.7500, 0.3845)
Cd (0.5043, 0.2500, 0.6155)
Cd (0.5771, 0.2500, 0.1569)
Cd (0.8385, 0.7500, 0.0706)

Calculated values
ρ: 7.83 g/cm³
DOS(E_F): 0.345 states/eV/atom
energy of formation from the pure elements: -0.22 eV per atom


No. 6
## InCoTeI2 (PBE)

Data for InCoTeI2 after structural relaxation.

Lattice parameters (Å, degrees): 5.3098 5.3098 4.8283 90.00 90.00 90.00
Positions (direct):
In (0.0000, 0.0000, 0.0000)
Co (0.5000, 0.5000, 0.5000)
Te (0.5000, 0.5000, 0.0000)
I (0.0000, 0.5000, 0.5000)
I (0.5000, 0.0000, 0.5000)

Calculated values
ρ: 6.77 g/cm³
DOS(E_F): 0.914 states/eV/atom
uncorrected formation energy: 0.140 eV per atom